La2AgRu at its PBEsol-relaxed geometry, computed with meta-GGA SCAN.

Lattice parameters (Å, degrees): 3.6255 3.6255 6.6628 90.00 90.00 90.00
Last column: nearest neighbours and their distance in Å.
Space group P4mm (No. 99)
One atom of each set of equivalent atoms:
La1 0.0000 0.0000 0.0000 (multiplicity 1)  4 Ag 3.05, 1 Ru 3.07, 4 La 3.32
La2 0.5000 0.5000 0.3169 (multiplicity 1)  1 Ag 2.91, 4 Ru 2.96
Ag1 0.5000 0.5000 0.7532 (multiplicity 1)  5 La 2.91-3.05, 4 Ru 2.93
Ru1 0.0000 0.0000 0.5399 (multiplicity 1)  4 Ag 2.93, 5 La 2.96-3.07

E_form: 0.4 eV/f.u.
total magnetization: 0.00 μB per cell
final energy: -38.0006 eV per atom